6
Lattice="5.383 -2.586 0.723 0.513 -5.990 -0.218 2.732 -2.617 -4.677" Properties=species:S:1:pos:R:3 comment="Y2Ta, relaxed, DFT PBE" m_tot_mub_per_cell=0.0 e_above_lowest_polymorph_mev_per_atom=832 mass_density_g_cm3=7.74 formation_enthalpy_0k_ev_per_atom=1.04 pbc="T T T"
Y 5.136 -4.000 -2.499
Y 5.393 -6.995 -2.608
Ta 2.157 -2.798 -1.043
Ta 0.000 0.000 0.000
Y 2.701 -5.702 -2.969
Y 4.027 -5.687 -0.269